(1)
Crystalline CaTa2 at its relaxed geometry, computed with PBE.

Formation enthalpy at 0 K = 0.507 eV/atom
Calculated volume = 70.55 Å³/f.u.
DOS(E_F) = 3.48 states/eV/f.u.
Space-group type = I4/mmm
Relative energy among the computed polymorphs = 9.4 kJ/mol of atoms

Cell lengths 6.155, 6.155, 6.155 Å; angles 146.55, 146.55, 48.03 degrees
Fractional coordinates of all 3 atoms:
Ca: 0.000 0.000 0.000
Ta: 0.704 0.704 0.000
Ta: 0.296 0.296 0.000



(2)
Crystalline Rb2BaTiHg at its relaxed geometry, computed with PBE.

Formation enthalpy at 0 K = 0.750 eV/atom
Calculated volume = 320.15 Å³/f.u.
DOS(E_F) = 5.38 states/eV/f.u.
Space-group type = P4/mmm

Cell lengths 7.011, 6.513, 7.011 Å; angles 90.00, 90.00, 90.00 degrees
Last column: magnetic moment on the atom in μB.
Fractional coordinates of all 5 atoms:
Ti: 0.000 0.000 0.000  2.24
Hg: 0.500 0.500 0.500  0.02
Rb: 0.000 0.000 0.500  0.04
Rb: 0.500 0.000 0.000  0.04
Ba: 0.000 0.500 0.000  0.30



(3)
Crystalline SmTm3Tc at its relaxed geometry, computed with PBE.

Formation enthalpy at 0 K = -0.028 eV/atom
Calculated volume = 144.54 Å³/f.u.
DOS(E_F) = 4.61 states/eV/f.u.
Space-group type = C2/m
Relative energy among the computed polymorphs = 0.0 kJ/mol of atoms

Cell lengths 7.256, 7.256, 7.197 Å; angles 106.92, 114.07, 107.85 degrees
Fractional coordinates of all 10 atoms:
Sm: 0.714 0.053 0.767
Sm: 0.286 0.947 0.233
Tm: 0.851 0.059 0.303
Tm: 0.244 0.452 0.303
Tm: 0.756 0.548 0.697
Tm: 0.700 0.444 0.145
Tm: 0.149 0.941 0.697
Tm: 0.300 0.556 0.855
Tc: 0.630 0.749 0.379
Tc: 0.370 0.251 0.621



(4)
Crystalline SrGaH2O4 at its relaxed geometry, computed with PBE.

Total energy = -5.410 eV/atom
Calculated volume = 88.50 Å³/f.u.
DOS(E_F) = 4.22 states/eV/f.u.
Space-group type = I222

Cell lengths 4.505, 4.985, 4.985 Å; angles 72.85, 63.14, 63.14 degrees
Last column: magnetic moment on the atom in μB.
Fractional coordinates of all 8 atoms:
Sr: 0.000 0.000 0.000  0.00
Ga: 0.500 0.500 0.500  0.00
H: 0.174 0.326 0.326  0.00
H: 0.826 0.674 0.674  0.00
O: 0.390 0.199 0.452  0.22
O: 0.041 0.801 0.548  0.22
O: 0.959 0.452 0.199  0.22
O: 0.610 0.548 0.801  0.22